No. 1
Ce3Al5S12 | PBE | optimized geometry

```
Ce3Al5S12
1.0
-7.559 7.559 7.559
7.559 -7.559 7.559
7.559 7.559 -7.559
Ce Al S
12 20 48
Direct
0.125 0.250 0.375 Ce
0.125 0.375 0.750 Ce
0.250 0.375 0.125 Ce
0.250 0.875 0.625 Ce
0.375 0.125 0.250 Ce
0.375 0.750 0.125 Ce
0.625 0.250 0.875 Ce
0.625 0.875 0.750 Ce
0.750 0.125 0.375 Ce
0.750 0.625 0.875 Ce
0.875 0.625 0.250 Ce
0.875 0.750 0.625 Ce
0.000 0.000 0.000 Al
0.000 0.000 0.500 Al
0.000 0.500 0.000 Al
0.000 0.500 0.500 Al
0.125 0.750 0.875 Al
0.125 0.875 0.250 Al
0.250 0.125 0.875 Al
0.250 0.625 0.375 Al
0.375 0.250 0.625 Al
0.375 0.625 0.750 Al
0.500 0.000 0.000 Al
0.500 0.000 0.500 Al
0.500 0.500 0.000 Al
0.500 0.500 0.500 Al
0.625 0.375 0.250 Al
0.625 0.750 0.375 Al
0.750 0.375 0.625 Al
0.750 0.875 0.125 Al
0.875 0.125 0.750 Al
0.875 0.250 0.125 Al
0.025 0.204 0.118 S
0.025 0.322 0.907 S
0.086 0.704 0.678 S
0.086 0.882 0.407 S
0.093 0.618 0.414 S
0.093 0.975 0.678 S
0.118 0.025 0.204 S
0.118 0.593 0.914 S
0.178 0.204 0.586 S
0.178 0.475 0.593 S
0.204 0.118 0.025 S
0.204 0.586 0.178 S
0.296 0.322 0.914 S
0.296 0.475 0.382 S
0.322 0.907 0.025 S
0.322 0.914 0.296 S
0.382 0.296 0.475 S
0.382 0.586 0.907 S
0.407 0.086 0.882 S
0.407 0.822 0.525 S
0.414 0.093 0.618 S
0.414 0.822 0.796 S
0.475 0.382 0.296 S
0.475 0.593 0.178 S
0.525 0.407 0.822 S
0.525 0.618 0.704 S
0.586 0.178 0.204 S
0.586 0.907 0.382 S
0.593 0.178 0.475 S
0.593 0.914 0.118 S
0.618 0.414 0.093 S
0.618 0.704 0.525 S
0.678 0.086 0.704 S
0.678 0.093 0.975 S
0.704 0.525 0.618 S
0.704 0.678 0.086 S
0.796 0.414 0.822 S
0.796 0.882 0.975 S
0.822 0.525 0.407 S
0.822 0.796 0.414 S
0.882 0.407 0.086 S
0.882 0.975 0.796 S
0.907 0.025 0.322 S
0.907 0.382 0.586 S
0.914 0.118 0.593 S
0.914 0.296 0.322 S
0.975 0.678 0.093 S
0.975 0.796 0.882 S
```

Total DFT energy (no corrections), eV per atom: -5.7287
ΔE_f (raw), meV per atom: -1427

No. 2
LiReSe | PBE | optimized geometry

```
LiReSe
1.0
3.073 0.000 0.000
-1.537 2.662 0.000
0.000 0.000 6.292
Li Re Se
1 1 1
Direct
0.000 0.000 0.000 Li
0.667 0.333 0.354 Re
0.333 0.667 0.624 Se
```

Total DFT energy (no corrections), eV per atom: -5.8060
ΔE_f (raw), meV per atom: 143
Excess energy over the best structure of this formula in the dataset, eV/f.u.: 0.16

No. 3
MgAsPSe2 | PBE | optimized geometry

```
MgAsPSe2
1.0
4.988 0.000 0.000
0.000 4.988 0.000
0.000 0.000 4.622
Mg As P Se
1 1 1 2
Direct
0.000 0.000 0.000 Mg
0.500 0.500 0.000 As
0.500 0.500 0.500 P
0.000 0.500 0.500 Se
0.500 0.000 0.500 Se
```

Total DFT energy (no corrections), eV per atom: -3.4535
ΔE_f (raw), meV per atom: 271
Excess energy over the best structure of this formula in the dataset, eV/f.u.: 0.00

No. 4
TcIrPt | PBE | optimized geometry

```
TcIrPt
1.0
2.739 0.000 0.000
0.000 4.357 0.000
0.000 0.000 7.570
Tc Ir Pt
2 2 2
Direct
0.250 0.250 0.248 Tc
0.750 0.750 0.752 Tc
0.250 0.750 0.450 Ir
0.750 0.250 0.550 Ir
0.250 0.250 0.895 Pt
0.750 0.750 0.105 Pt
```

Total DFT energy (no corrections), eV per atom: -8.5059
Excess energy over the best structure of this formula in the dataset, eV/f.u.: 0.26

No. 5
Li2VH6 | PBE | optimized geometry

```
Li2VH6
1.0
-1.489 2.308 4.620
1.489 -2.308 4.620
1.489 2.308 -4.620
Li V H
2 1 6
Direct
0.173 0.173 0.000 Li
0.827 0.827 0.000 Li
0.500 0.500 0.000 V
0.114 0.351 0.763 H
0.282 0.000 0.282 H
0.412 0.649 0.763 H
0.588 0.351 0.237 H
0.718 0.000 0.718 H
0.886 0.649 0.237 H
```

Total DFT energy (no corrections), eV per atom: -3.8001
Excess energy over the best structure of this formula in the dataset, eV/f.u.: 0.00

No. 6
Sc2GaC | PBE | optimized geometry

```
Sc2GaC
1.0
3.325 0.000 0.000
-1.662 2.879 0.000
0.000 0.000 25.581
Sc Ga C
6 3 3
Direct
0.000 0.000 0.083 Sc
0.000 0.000 0.917 Sc
0.333 0.667 0.583 Sc
0.333 0.667 0.750 Sc
0.667 0.333 0.250 Sc
0.667 0.333 0.417 Sc
0.000 0.000 0.500 Ga
0.333 0.667 0.167 Ga
0.667 0.333 0.833 Ga
0.000 0.000 0.000 C
0.333 0.667 0.667 C
0.667 0.333 0.333 C
```

Total DFT energy (no corrections), eV per atom: -5.5276
Excess energy over the best structure of this formula in the dataset, eV/f.u.: 4.94

No. 7
PuZrPt6 | PBE | optimized geometry

```
PuZrPt6
1.0
4.097 0.000 0.000
0.000 4.097 0.000
0.000 0.000 8.256
Pu Zr Pt
1 1 6
Direct
0.000 0.000 0.000 Pu
0.000 0.000 0.500 Zr
0.000 0.500 0.260 Pt
0.000 0.500 0.740 Pt
0.500 0.000 0.260 Pt
0.500 0.000 0.740 Pt
0.500 0.500 0.000 Pt
0.500 0.500 0.500 Pt
```

Total DFT energy (no corrections), eV per atom: -8.2484

No. 8
LiNiCl | PBE | optimized geometry

```
LiNiCl
1.0
3.319 0.000 0.000
0.006 4.076 0.000
0.019 1.870 6.864
Li Ni Cl
2 2 2
Direct
0.000 0.000 0.000 Li
0.000 0.500 0.500 Li
0.498 0.079 0.318 Ni
0.502 0.921 0.682 Ni
0.500 0.373 0.785 Cl
0.500 0.627 0.215 Cl
```

Total DFT energy (no corrections), eV per atom: -3.6025
ΔE_f (raw), meV per atom: -422
Excess energy over the best structure of this formula in the dataset, eV/f.u.: 0.91